Crystalline Zn2FeCu at its relaxed geometry. Source: the Alexandria database, functional PBEsol.

Cell lengths 2.5871, 2.5871, 7.3820 Å; angles 90.00, 90.00, 90.02 degrees
With the nearest neighbours (Å) after each atom.
Fractional coordinates of all 4 atoms:
Zn  0.0000  0.0000  0.0116  4 Fe 2.58, 8 Zn 2.59-2.73
Zn  0.5000  0.5000  0.7376  4 Cu 2.57, 8 Zn 2.59-2.73
Fe  0.5000  0.5000  0.2572  4 Cu 2.53, 4 Zn 2.58, 4 Fe 2.59
Cu  0.0000  0.0000  0.4936  4 Fe 2.53, 4 Zn 2.57, 4 Cu 2.59

* energy of formation: 0.03 eV/atom
* total energy: -4.086 eV/atom
* density of states at the Fermi level: 1.95 states/eV/f.u.
* magnetic moment: 0.59 μB/atom
* SG: P4mm